Record 1
! Si2SnOsPt (GGA-PBEsol, relaxed); values from VASP
! M_tot = 0.000 μB/f.u.
! DOS(E_F) = 0.69 states/eV per cell
! space group = P4/mmm (123)
! E = -32.53 eV per cell
&SYSTEM
  ibrav = 0, nat = 5, ntyp = 4
/
ATOMIC_SPECIES
Pt 195.08 Pt.upf
Si 28.09 Si.upf
Sn 118.71 Sn.upf
Os 190.23 Os.upf
CELL_PARAMETERS angstrom
-0.9430 3.1625 -3.0499
-1.3591 -3.1763 -2.8733
-4.7702 0.3648 1.8531
ATOMIC_POSITIONS crystal
Pt 0.5000 0.5000 0.5000
Si 0.0000 0.5000 0.0000
Si 0.5000 0.0000 0.0000
Sn 0.0000 0.0000 0.5000
Os 0.0000 0.0000 0.0000

Record 2
! HoGa (GGA-PBEsol, relaxed); values from VASP
! M_tot = 0.001 μB/f.u.
! DOS(E_F) = 3.32 states/eV per cell
! ΔE_f = -659 meV/atom
! space group = Cmcm (63)
! E = -19.21 eV per cell
&SYSTEM
  ibrav = 0, nat = 4, ntyp = 2
/
ATOMIC_SPECIES
Ga 69.72 Ga.upf
Ho 164.93 Ho.upf
CELL_PARAMETERS angstrom
-0.1677 2.7692 -2.8459
-1.9303 -2.7739 -2.5853
-5.7250 0.2129 0.5446
ATOMIC_POSITIONS crystal
Ga 0.2500 0.5765 0.8469
Ga 0.7500 0.4235 0.1531
Ho 0.7500 0.1401 0.7197
Ho 0.2500 0.8599 0.2803

Record 3
! RbAgI2N (GGA-PBEsol, relaxed); values from VASP
! M_tot = 2.078 μB/f.u.
! DOS(E_F) = 1.22 states/eV per cell
! space group = P4/mmm (123)
! E = -15.58 eV per cell
&SYSTEM
  ibrav = 0, nat = 5, ntyp = 4
/
ATOMIC_SPECIES
Rb 85.47 Rb.upf
N 14.01 N.upf
Ag 107.87 Ag.upf
I 126.90 I.upf
CELL_PARAMETERS angstrom
-2.9598 2.8475 -0.4280
-3.4055 -2.9548 3.8919
2.3775 3.1424 4.4662
ATOMIC_POSITIONS crystal
Rb 0.5000 0.5000 0.5000
N 0.5000 0.0000 0.0000
Ag 0.0000 0.0000 0.0000
I 0.0000 0.0000 0.5000
I 0.0000 0.5000 0.0000

Record 4
! HfTl2CdP (GGA-PBEsol, relaxed); values from VASP
! M_tot = 0.000 μB/f.u.
! DOS(E_F) = 4.46 states/eV per cell
! ΔE_f = 1153 meV/atom
! space group = P4/mmm (123)
! E = -16.99 eV per cell
&SYSTEM
  ibrav = 0, nat = 5, ntyp = 4
/
ATOMIC_SPECIES
Tl 204.38 Tl.upf
Hf 178.49 Hf.upf
P 30.97 P.upf
Cd 112.41 Cd.upf
CELL_PARAMETERS angstrom
5.1470 0.0000 0.0000
0.0000 5.1470 0.0000
0.0000 0.0000 5.4728
ATOMIC_POSITIONS crystal
Tl 0.5000 0.0000 0.0000
Tl 0.0000 0.5000 0.0000
Hf 0.0000 0.0000 0.5000
P 0.5000 0.5000 0.5000
Cd 0.0000 0.0000 0.0000

Record 5
! La2PH2 (GGA-PBEsol, relaxed); values from VASP
! M_tot = 0.000 μB/f.u.
! DOS(E_F) = 1.94 states/eV per cell
! space group = I4/mmm (139)
! E = -27.75 eV per cell
&SYSTEM
  ibrav = 0, nat = 5, ntyp = 3
/
ATOMIC_SPECIES
La 138.91 La.upf
H 1.01 H.upf
P 30.97 P.upf
CELL_PARAMETERS angstrom
-1.3231 2.6775 2.2503
-2.3895 -2.4489 1.5088
6.1105 -1.6202 2.4136
ATOMIC_POSITIONS crystal
La 0.3700 0.3700 0.7399
La 0.6300 0.6300 0.2601
H 0.7500 0.2500 0.5000
H 0.2500 0.7500 0.5000
P 0.0000 0.0000 0.0000

Record 6
! Fe2PRh (GGA-PBEsol, relaxed); values from VASP
! M_tot = 4.516 μB/f.u.
! DOS(E_F) = 3.67 states/eV per cell
! ΔE_f = -149 meV/atom
! space group = Pmmm (47)
! E = -32.45 eV per cell
&SYSTEM
  ibrav = 0, nat = 4, ntyp = 3
/
ATOMIC_SPECIES
Fe 55.84 Fe.upf
Rh 102.91 Rh.upf
P 30.97 P.upf
CELL_PARAMETERS angstrom
3.3219 0.0000 0.0000
0.0000 3.6228 0.0000
0.0000 0.0000 3.8693
ATOMIC_POSITIONS crystal
Fe 0.5000 0.5000 0.0000
Fe 0.0000 0.0000 0.0000
Rh 0.0000 0.5000 0.5000
P 0.5000 0.0000 0.5000

Record 7
! SnSCl2 (GGA-PBEsol, relaxed); values from VASP
! M_tot = 0.755 μB/f.u.
! DOS(E_F) = 6.31 states/eV per cell
! space group = I-42d (122)
! energy relative to the lowest polymorph listed for this composition = 0.000 eV per atom
! E = -27.13 eV per cell
&SYSTEM
  ibrav = 0, nat = 8, ntyp = 3
/
ATOMIC_SPECIES
Sn 118.71 Sn.upf
S 32.06 S.upf
Cl 35.45 Cl.upf
CELL_PARAMETERS angstrom
4.9670 0.0000 0.0000
2.4835 6.6641 0.0000
2.4835 0.0000 6.6641
ATOMIC_POSITIONS crystal
Sn 0.7500 0.5000 0.5000
Sn 0.0000 0.0000 0.0000
S 0.2500 0.5000 0.5000
S 0.5000 0.0000 0.0000
Cl 0.3750 0.6398 0.8602
Cl 0.7648 0.8602 0.3602
Cl 0.9852 0.1398 0.6398
Cl 0.8750 0.3602 0.1398

Record 8
! MnAsOs2 (GGA-PBEsol, relaxed); values from VASP
! M_tot = 2.693 μB/f.u.
! DOS(E_F) = 3.60 states/eV per cell
! ΔE_f = 319 meV/atom
! space group = Pmm2 (25)
! E = -38.02 eV per cell
&SYSTEM
  ibrav = 0, nat = 4, ntyp = 3
/
ATOMIC_SPECIES
Mn 54.94 Mn.upf
As 74.92 As.upf
Os 190.23 Os.upf
CELL_PARAMETERS angstrom
2.8073 0.0000 0.0000
0.0000 3.8173 0.0000
0.0000 0.0000 5.1524
ATOMIC_POSITIONS crystal
Mn 0.5000 0.5000 0.7488
As 0.0000 0.0000 0.5093
Os 0.0000 0.0000 0.0023
Os 0.5000 0.5000 0.2395

Record 9
! KFeSe2 (GGA-PBEsol, relaxed); values from VASP
! M_tot = 3.589 μB/f.u.
! DOS(E_F) = 4.74 states/eV per cell
! space group = P4/mmm (123)
! E = -17.43 eV per cell
&SYSTEM
  ibrav = 0, nat = 4, ntyp = 3
/
ATOMIC_SPECIES
K 39.10 K.upf
Se 78.96 Se.upf
Fe 55.84 Fe.upf
CELL_PARAMETERS angstrom
2.8246 0.0000 0.0000
0.0000 5.4030 0.0000
0.0000 0.0000 5.4030
ATOMIC_POSITIONS crystal
K 0.5000 0.0000 0.0000
Se 0.0000 0.5000 0.0000
Se 0.0000 0.0000 0.5000
Fe 0.5000 0.5000 0.5000

Record 10
! Bi3RhPb (GGA-PBEsol, relaxed); values from VASP
! M_tot = 0.001 μB/f.u.
! DOS(E_F) = 4.89 states/eV per cell
! ΔE_f = 262 meV/atom
! space group = Pm-3m (221)
! E = -23.68 eV per cell
&SYSTEM
  ibrav = 0, nat = 5, ntyp = 3
/
ATOMIC_SPECIES
Bi 208.98 Bi.upf
Rh 102.91 Rh.upf
Pb 207.20 Pb.upf
CELL_PARAMETERS angstrom
-3.6554 -1.3311 -3.5801
3.3573 -3.4828 -2.1330
-1.8214 -3.7483 3.2534
ATOMIC_POSITIONS crystal
Bi 0.0000 0.0000 0.5000
Bi 0.5000 0.0000 0.0000
Bi 0.0000 0.5000 0.0000
Rh 0.0000 0.0000 0.0000
Pb 0.5000 0.5000 0.5000

Record 11
! CeB2Rh2C (GGA-PBEsol, relaxed); values from VASP
! M_tot = 0.170 μB/f.u.
! DOS(E_F) = 3.17 states/eV per cell
! ΔE_f = -632 meV/atom
! space group = I4/mmm (139)
! E = -50.34 eV per cell
&SYSTEM
  ibrav = 0, nat = 6, ntyp = 4
/
ATOMIC_SPECIES
B 10.81 B.upf
Rh 102.91 Rh.upf
Ce 140.12 Ce.upf
C 12.01 C.upf
CELL_PARAMETERS angstrom
-2.1445 -2.7204 -1.5552
2.5526 -0.4237 -2.7789
2.2298 -1.9300 4.9367
ATOMIC_POSITIONS crystal
B 0.3520 0.3520 0.7040
B 0.6480 0.6480 0.2960
Rh 0.2500 0.7500 0.5000
Rh 0.7500 0.2500 0.5000
Ce 0.0000 0.0000 0.0000
C 0.5000 0.5000 0.0000

Record 12
! CrSBr (GGA-PBEsol, relaxed); values from VASP
! M_tot = 3.000 μB/f.u.
! DOS(E_F) = 0.03 states/eV per cell
! space group = Pmmn (59)
! E = -37.29 eV per cell
&SYSTEM
  ibrav = 0, nat = 6, ntyp = 3
/
ATOMIC_SPECIES
Cr 52.00 Cr.upf
S 32.06 S.upf
Br 79.90 Br.upf
CELL_PARAMETERS angstrom
3.4869 0.0000 0.0000
0.0000 4.6597 0.0000
0.0000 0.0000 8.2753
ATOMIC_POSITIONS crystal
Cr 0.5000 0.0000 0.6229
Cr 0.0000 0.5000 0.3771
S 0.5000 0.5000 0.5683
S 0.0000 0.0000 0.4317
Br 0.0000 0.0000 0.8373
Br 0.5000 0.5000 0.1627